(1)
Entry from Alexandria via LeMat-Bulk: a relaxed structure of Er8Mg2Ni (PBE).

Unit cell a=9.050 b=9.050 c=6.869 alpha=110.05 beta=110.05 gamma=34.94
Sites, in units of the cell vectors:
Er1 0.015 0.015 0.276
Er2 0.195 0.195 0.756
Er3 0.357 0.357 0.569
Er4 0.402 0.402 0.090
Er5 0.598 0.598 0.910
Er6 0.643 0.643 0.431
Er7 0.805 0.805 0.244
Er8 0.985 0.985 0.724
Mg1 0.184 0.184 0.199
Mg2 0.816 0.816 0.801
Ni1 0.500 0.500 0.500

Calculated values
ΔH_f (0 K)	-29	meV/atom
E	-4.163	eV/atom
crystal system	monoclinic

=====

(2)
Entry from Alexandria via LeMat-Bulk: a relaxed structure of BP3RhC (PBE).

Unit cell a=4.694 b=3.037 c=6.207 alpha=90.00 beta=106.04 gamma=90.00
Sites, in units of the cell vectors:
B1 0.000 0.000 0.000
P1 0.518 0.500 0.194
P2 0.586 0.000 0.786
P3 0.972 0.500 0.189
Rh1 0.367 0.500 0.516
C1 0.371 0.000 0.010

Calculated values
offset from the most stable computed form	46	meV per atom
ΔH_f (0 K)	65	meV/atom
E	-6.515	eV/atom
crystal system	monoclinic

=====

(3)
Entry from Alexandria via LeMat-Bulk: a relaxed structure of NaSe2Cl (PBE).

Unit cell a=8.492 b=8.492 c=8.492 alpha=138.77 beta=138.77 gamma=59.73
Sites, in units of the cell vectors:
Na1 0.000 0.000 0.000
Na2 0.750 0.250 0.500
Se1 0.218 0.625 0.093
Se2 0.375 0.468 0.593
Se3 0.532 0.125 0.907
Se4 0.875 0.782 0.407
Cl1 0.250 0.750 0.500
Cl2 0.500 0.500 0.000

Calculated values
formation energy without anion corrections	0.12	eV/atom
offset from the most stable computed form	134	meV per atom
E	-2.416	eV/atom
crystal system	tetragonal

=====

(4)
Entry from Alexandria via LeMat-Bulk: a relaxed structure of YCu2Au (PBE).

Unit cell a=4.992 b=4.992 c=4.992 alpha=129.67 beta=129.67 gamma=73.93
Sites, in units of the cell vectors:
Y1 0.000 0.000 0.000
Cu1 0.500 0.500 0.000
Cu2 0.750 0.250 0.500
Au1 0.250 0.750 0.500

Calculated values
offset from the most stable computed form	71	meV per atom
ΔH_f (0 K)	-291	meV/atom
E	-4.775	eV/atom
crystal system	tetragonal

=====

(5)
Entry from Alexandria via LeMat-Bulk: a relaxed structure of PmZn2Au6 (PBE).

Unit cell a=5.627 b=5.627 c=7.239 alpha=90.00 beta=90.00 gamma=120.00
Sites, in units of the cell vectors:
Pm1 0.000 0.000 0.000
Zn1 0.333 0.667 0.500
Zn2 0.667 0.333 0.500
Au1 0.000 0.500 0.205
Au2 0.000 0.500 0.795
Au3 0.500 0.000 0.205
Au4 0.500 0.000 0.795
Au5 0.500 0.500 0.205
Au6 0.500 0.500 0.795

Calculated values
ΔH_f (0 K)	-287	meV/atom
E	-3.283	eV/atom
crystal system	hexagonal

=====

(6)
Entry from Alexandria via LeMat-Bulk: a relaxed structure of CaZr2Be (PBE).

Unit cell a=3.253 b=5.014 c=5.484 alpha=90.00 beta=90.00 gamma=90.00
Sites, in units of the cell vectors:
Ca1 0.000 0.000 0.000
Zr1 0.000 0.500 0.500
Zr2 0.500 0.000 0.500
Be1 0.500 0.500 0.000

Calculated values
ΔH_f (0 K)	490	meV/atom
E	-5.216	eV/atom
crystal system	orthorhombic

=====

(7)
Entry from Alexandria via LeMat-Bulk: a relaxed structure of UNb2W (PBE).

Unit cell a=4.700 b=4.700 c=4.700 alpha=60.00 beta=60.00 gamma=60.00
Sites, in units of the cell vectors:
U1 0.000 0.000 0.000
Nb1 0.250 0.250 0.250
Nb2 0.750 0.750 0.750
W1 0.500 0.500 0.500

Calculated values
offset from the most stable computed form	0	meV per atom
ΔH_f (0 K)	166	meV/atom
E	-10.930	eV/atom
crystal system	cubic

=====

What did the fourth record say?
Entry from Alexandria via LeMat-Bulk: a relaxed structure of YCu2Au (PBE).

Unit cell a=4.992 b=4.992 c=4.992 alpha=129.67 beta=129.67 gamma=73.93
Sites, in units of the cell vectors:
Y1 0.000 0.000 0.000
Cu1 0.500 0.500 0.000
Cu2 0.750 0.250 0.500
Au1 0.250 0.750 0.500

Calculated values
offset from the most stable computed form	71	meV per atom
ΔH_f (0 K)	-291	meV/atom
E	-4.775	eV/atom
crystal system	tetragonal

=====

> The lowest E belongs to which entry?

UNb2W

=====

> Look up the E of the first one.

-4.163 eV/atom

=====

> Look up the E of the sixth one.

-5.216 eV/atom